This record from the Alexandria database describes a relaxed structure of SrLa2Co3O9. The functional is PBE with a Hubbard U.

Structure (POSCAR):
```
SrLa2Co3O9
1.0
4.7314 -2.7149 0.0000
4.7314 2.7149 0.0000
-0.2105 0.0000 13.4624
Sr La Co O
2 4 6 18
direct
0.0028 0.0028 0.2501
0.9972 0.9972 0.7499
0.3300 0.3300 0.9170
0.3348 0.3348 0.4149
0.6652 0.6652 0.5851
0.6700 0.6700 0.0830
0.0000 0.0000 0.0000
0.0000 0.0000 0.5000
0.3331 0.3331 0.6671
0.3349 0.3349 0.1680
0.6651 0.6651 0.8320
0.6669 0.6669 0.3329
0.0209 0.5157 0.2616
0.1479 0.6445 0.0706
0.1537 0.1537 0.0973
0.1879 0.1879 0.5613
0.1922 0.6833 0.5903
0.3167 0.8078 0.4097
0.3555 0.8521 0.9294
0.4801 0.4801 0.7709
0.4843 0.9791 0.7384
0.5157 0.0209 0.2616
0.5199 0.5199 0.2291
0.6445 0.1479 0.0706
0.6833 0.1922 0.5903
0.8078 0.3167 0.4097
0.8121 0.8121 0.4387
0.8463 0.8463 0.9027
0.8521 0.3555 0.9294
0.9791 0.4843 0.7384
```

Results
* energy above the lowest structure with this stoichiometry: 0.00 kJ per mole of atoms
* SG: C2/m
* total DFT energy (no corrections): -102.004 eV/f.u.